[1]
The following is a DFT calculation (GGA-PBE) of a geometry-optimized NdDyEr2P4 structure.

## Properties
SG: P2/m
Formation energy from the elements in eV per atom: -1.58
DOS(E_F) in states/eV per atom: 0.10
Final energy in eV per atom: -6.601

Cell lengths 4.031, 6.976, 6.978 Å; angles 70.53, 90.00, 90.00 degrees
Fractional positions:
P 0.000 0.759 0.743
P 0.500 0.244 0.748
P 0.000 0.241 0.257
P 0.500 0.756 0.252
Dy 0.000 0.500 0.500
Er 0.000 0.000 0.000
Er 0.500 0.000 0.500
Nd 0.500 0.500 0.000



[2]
The following is a DFT calculation (GGA-PBE) of a geometry-optimized Ga2HI6 structure.

## Properties
SG: C2/c
DOS(E_F) in states/eV per atom: 0.31
Final energy in eV per atom: -2.362

Cell lengths 8.929, 9.992, 9.992 Å; angles 84.87, 78.64, 78.64 degrees
Fractional positions:
I 0.196 0.104 0.661
I 0.696 0.661 0.104
I 0.200 0.760 0.992
I 0.300 0.008 0.240
I 0.553 0.628 0.633
I 0.804 0.896 0.339
I 0.304 0.339 0.896
I 0.800 0.240 0.008
I 0.947 0.367 0.372
I 0.700 0.992 0.760
I 0.053 0.633 0.628
I 0.447 0.372 0.367
H 0.250 0.237 0.763
H 0.750 0.763 0.237
Ga 0.231 0.208 0.396
Ga 0.731 0.396 0.208
Ga 0.769 0.792 0.604
Ga 0.269 0.604 0.792



[3]
The following is a DFT calculation (GGA-PBE) of a geometry-optimized Rb2SiPdS4 structure.

## Properties
SG: Fddd
DOS(E_F) in states/eV per atom: 0.07
Final energy in eV per atom: -4.419

Cell lengths 6.457, 7.946, 11.106 Å; angles 83.22, 73.10, 66.03 degrees
Fractional positions:
Si 0.250 0.500 0.500
Si 0.500 0.000 0.000
S 0.858 0.808 0.928
S 0.334 0.808 0.072
S 0.594 0.192 0.072
S 0.536 0.308 0.572
S 0.416 0.692 0.428
S 0.156 0.308 0.428
S 0.892 0.692 0.572
S 0.214 0.192 0.928
Pd 0.750 0.500 0.500
Pd 0.000 0.000 0.000
Rb 0.168 0.000 0.663
Rb 0.582 0.500 0.837
Rb 0.832 0.000 0.337
Rb 0.918 0.500 0.163



Question: Which of these has the lowest final energy?
Answer: NdDyEr2P4